# 1
# YTa2Ni (PBE, relaxed)
# Polymorph energy (0 for the lowest one) = 2.09 eV per formula unit
# Raw total energy = -33.69 eV per formula unit
# Energy of formation from the pure elements = 0.57 eV/atom
data_YTa2Ni
_chemical_formula_sum 'Y4 Ta8 Ni4'
_symmetry_space_group_name_H-M 'F m -3 m'
_symmetry_Int_Tables_number 225
_symmetry_space_group_name_Hall '-F 4 2 3'
_cell_length_a 6.596
_cell_length_b 6.596
_cell_length_c 6.596
_cell_angle_alpha 90.00
_cell_angle_beta 90.00
_cell_angle_gamma 90.00
loop_
_atom_site_label
_atom_site_type_symbol
_atom_site_fract_x
_atom_site_fract_y
_atom_site_fract_z
Y1 Y 0.000 0.000 0.000
Ta1 Ta 0.250 0.250 0.250
Ni1 Ni 0.000 0.000 0.500

# 2
# Y2TaNi (PBE, relaxed)
# Polymorph energy (0 for the lowest one) = 1.94 eV per formula unit
# Raw total energy = -28.61 eV per formula unit
# Energy of formation from the pure elements = 0.49 eV/atom
data_Y2TaNi
_chemical_formula_sum 'Y8 Ta4 Ni4'
_symmetry_space_group_name_H-M 'F -4 3 m'
_symmetry_Int_Tables_number 216
_symmetry_space_group_name_Hall 'F -4 2 3'
_cell_length_a 6.931
_cell_length_b 6.931
_cell_length_c 6.931
_cell_angle_alpha 90.00
_cell_angle_beta 90.00
_cell_angle_gamma 90.00
loop_
_atom_site_label
_atom_site_type_symbol
_atom_site_fract_x
_atom_site_fract_y
_atom_site_fract_z
Y1 Y 0.000 0.000 0.000
Y2 Y 0.250 0.250 0.250
Ta1 Ta 0.250 0.250 0.750
Ni1 Ni 0.000 0.000 0.500

# 3
# Y2TaNi (PBE, relaxed)
# Polymorph energy (0 for the lowest one) = 0.07 eV per formula unit
# Raw total energy = -30.49 eV per formula unit
# Energy of formation from the pure elements = 0.02 eV/atom
data_Y2TaNi
_chemical_formula_sum 'Y4 Ta2 Ni2'
_symmetry_space_group_name_H-M 'A m m 2'
_symmetry_Int_Tables_number 38
_cell_length_a 3.527
_cell_length_b 4.766
_cell_length_c 11.112
_cell_angle_alpha 90.00
_cell_angle_beta 90.00
_cell_angle_gamma 90.00
loop_
_symmetry_equiv_pos_as_xyz
'x,y,z'
'-x,-y,z'
'-x,y,z'
'x,-y,z'
'x,y+1/2,z+1/2'
'-x,-y+1/2,z+1/2'
'-x,y+1/2,z+1/2'
'x,-y+1/2,z+1/2'
loop_
_atom_site_label
_atom_site_type_symbol
_atom_site_fract_x
_atom_site_fract_y
_atom_site_fract_z
Y1 Y 0.000 0.000 0.000
Y2 Y 0.500 0.000 0.299
Ta1 Ta 0.500 0.000 0.596
Ni1 Ni 0.000 0.000 0.740

# 4
# YTaNi2 (PBE, relaxed)
# Raw total energy = -30.86 eV per formula unit
# Energy of formation from the pure elements = -0.24 eV/atom
data_YTaNi2
_chemical_formula_sum 'Y3 Ta3 Ni6'
_symmetry_space_group_name_H-M 'R -3 m'
_symmetry_Int_Tables_number 166
_symmetry_space_group_name_Hall '-R 3 2"'
_cell_length_a 4.2476
_cell_length_b 4.2476
_cell_length_c 14.1660
_cell_angle_alpha 90.00
_cell_angle_beta 90.00
_cell_angle_gamma 120.00
loop_
_atom_site_label
_atom_site_type_symbol
_atom_site_fract_x
_atom_site_fract_y
_atom_site_fract_z
Y1 Y 0.0000 0.0000 0.0000
Ta1 Ta 0.0000 0.0000 0.5000
Ni1 Ni 0.0000 0.0000 0.2020

# 5
# YTa2Ni (PBE, relaxed)
# Polymorph energy (0 for the lowest one) = 1.06 eV per formula unit
# Raw total energy = -34.72 eV per formula unit
# Energy of formation from the pure elements = 0.31 eV/atom
data_YTa2Ni
_chemical_formula_sum 'Y1 Ta2 Ni1'
_symmetry_space_group_name_H-M 'P 4/m m m'
_symmetry_Int_Tables_number 123
_symmetry_space_group_name_Hall '-P 4 2'
_cell_length_a 3.933
_cell_length_b 3.933
_cell_length_c 4.918
_cell_angle_alpha 90.00
_cell_angle_beta 90.00
_cell_angle_gamma 90.00
loop_
_atom_site_label
_atom_site_type_symbol
_atom_site_fract_x
_atom_site_fract_y
_atom_site_fract_z
Y1 Y 0.000 0.000 0.000
Ta1 Ta 0.000 0.500 0.500
Ni1 Ni 0.500 0.500 0.000

# 6
# Y2TaNi (PBE, relaxed)
# Polymorph energy (0 for the lowest one) = 0.00 eV per formula unit
# Raw total energy = -30.56 eV per formula unit
# Energy of formation from the pure elements = 0.00 eV/atom
data_Y2TaNi
_chemical_formula_sum 'Y2 Ta1 Ni1'
_symmetry_space_group_name_H-M 'P 4 m m'
_symmetry_Int_Tables_number 99
_cell_length_a 3.246
_cell_length_b 3.246
_cell_length_c 8.545
_cell_angle_alpha 90.00
_cell_angle_beta 90.00
_cell_angle_gamma 90.00
loop_
_symmetry_equiv_pos_as_xyz
'x,y,z'
'-y,x,z'
'-x,-y,z'
'y,-x,z'
'-x,y,z'
'y,x,z'
'x,-y,z'
'-y,-x,z'
loop_
_atom_site_label
_atom_site_type_symbol
_atom_site_fract_x
_atom_site_fract_y
_atom_site_fract_z
Y1 Y 0.000 0.000 0.000
Y2 Y 0.500 0.500 0.363
Ta1 Ta 0.500 0.500 0.743
Ni1 Ni 0.000 0.000 0.599

# 7
# YTa2Ni (PBE, relaxed)
# Polymorph energy (0 for the lowest one) = 1.23 eV per formula unit
# Raw total energy = -34.55 eV per formula unit
# Energy of formation from the pure elements = 0.35 eV/atom
data_YTa2Ni
_chemical_formula_sum 'Y2 Ta4 Ni2'
_symmetry_space_group_name_H-M 'C 1 2/m 1'
_symmetry_Int_Tables_number 12
_cell_length_a 5.389
_cell_length_b 10.174
_cell_length_c 2.987
_cell_angle_alpha 90.00
_cell_angle_beta 112.80
_cell_angle_gamma 90.00
loop_
_symmetry_equiv_pos_as_xyz
'x,y,z'
'-x,-y,-z'
'-x,y,-z'
'x,-y,z'
'x+1/2,y+1/2,z'
'-x+1/2,-y+1/2,-z'
'-x+1/2,y+1/2,-z'
'x+1/2,-y+1/2,z'
loop_
_atom_site_label
_atom_site_type_symbol
_atom_site_fract_x
_atom_site_fract_y
_atom_site_fract_z
Y1 Y 0.000 0.000 0.000
Ta1 Ta 0.250 0.250 0.500
Ni1 Ni 0.000 0.500 0.000

# 8
# YTa2Ni (PBE, relaxed)
# Polymorph energy (0 for the lowest one) = 0.83 eV per formula unit
# Raw total energy = -34.95 eV per formula unit
# Energy of formation from the pure elements = 0.25 eV/atom
data_YTa2Ni
_chemical_formula_sum 'Y2 Ta4 Ni2'
_symmetry_space_group_name_H-M 'C 1 m 1'
_symmetry_Int_Tables_number 8
_cell_length_a 9.739
_cell_length_b 3.079
_cell_length_c 5.489
_cell_angle_alpha 90.00
_cell_angle_beta 106.41
_cell_angle_gamma 90.00
loop_
_symmetry_equiv_pos_as_xyz
'x,y,z'
'x,-y,z'
'x+1/2,y+1/2,z'
'x+1/2,-y+1/2,z'
loop_
_atom_site_label
_atom_site_type_symbol
_atom_site_fract_x
_atom_site_fract_y
_atom_site_fract_z
Y1 Y 0.000 0.000 0.000
Ta1 Ta 0.040 0.500 0.529
Ta2 Ta 0.292 0.500 0.357
Ni1 Ni 0.252 0.000 0.736